Material: NaLiPmSn
Method: DFT, PBE
State: relaxed

## Properties
DOS at the Fermi energy = 9.60 states/eV/cell
total magnetization = 0.00 μB/atom
density = 4.7 g/cm³
raw total energy = -3.293 eV per atom

Cell: 7.4696 7.4696 7.4696 Å, 90.00 90.00 90.00°
With the nearest neighbours (Å) after each atom.
Space group F-43m (No. 216)
Symmetry-distinct sites (fractional):
Na (0.0000, 0.0000, 0.0000) x4  4 Sn 3.23, 4 Li 3.23
Li (0.2500, 0.2500, 0.2500) x4  4 Na 3.23, 4 Pm 3.23
Pm (0.0000, 0.0000, 0.5000) x4  4 Sn 3.23, 4 Li 3.23
Sn (0.2500, 0.2500, 0.7500) x4  4 Na 3.23, 4 Pm 3.23

Material: Ca12Si3O5
Method: DFT, PBE
State: relaxed

## Properties
DOS at the Fermi energy = 43.86 states/eV/cell
total magnetization = 0.00 μB/atom
raw formation energy = -1.534 eV per atom
density = 2.3 g/cm³
raw total energy = -4.788 eV per atom

Cell: 15.5157 15.5157 15.5157 Å, 90.00 90.00 90.00°
With the nearest neighbours (Å) after each atom.
Space group Ia-3d (No. 230)
Symmetry-distinct sites (fractional):
Ca (0.0307, 0.0521, 0.6521) x96  1 O 2.26
Si (0.0000, 0.2500, 0.1250) x24  8 Ca 2.97-3.14
O (0.0000, 0.0000, 0.0000) x16  6 Ca 2.54
O (0.0000, 0.2500, 0.3750) x24  4 Ca 2.26

Material: Ba2SrTa
Method: DFT, PBE
State: relaxed

## Properties
DOS at the Fermi energy = 10.75 states/eV/cell
total magnetization = 0.00 μB/atom
density = 5.6 g/cm³
raw total energy = -3.515 eV per atom

Cell: 5.1422 5.2992 11.7821 Å, 90.00 90.00 90.00°
With the nearest neighbours (Å) after each atom.
Space group Cmmm (No. 65)
Symmetry-distinct sites (fractional):
Ba (0.0000, 0.0000, 0.2004) x4  4 Ta 3.49-3.55, 4 Ba 3.69
Sr (0.0000, 0.5000, 0.5000) x2  4 Sr 3.69
Ta (0.0000, 0.5000, 0.0000) x2  8 Ba 3.49-3.55, 4 Ta 3.69

Material: InCoPb2
Method: DFT, PBE
State: relaxed

## Properties
DOS at the Fermi energy = 4.35 states/eV/cell
total magnetization = 0.12 μB/atom
density = 9.4 g/cm³
raw total energy = -4.115 eV per atom

Cell: 5.0278 12.2714 3.3781 Å, 90.00 90.00 90.00°
With the nearest neighbours (Å) after each atom.
Space group Cmmm (No. 65)
Symmetry-distinct sites (fractional):
In (0.0000, 0.0000, 0.0000) x2  2 Co 2.51
Co (0.0000, 0.5000, 0.0000) x2  2 In 2.51, 4 Pb 2.67
Pb (0.0000, 0.3315, 0.5000) x4  2 Co 2.67

Material: MnInNi2
Method: DFT, PBE
State: relaxed

## Properties
DOS at the Fermi energy = 2.52 states/eV/cell
total magnetization = 1.12 μB/atom
density = 8.5 g/cm³
raw total energy = -5.909 eV per atom

Cell: 4.0249 4.0249 3.4639 Å, 90.00 90.00 90.00°
With the nearest neighbours (Å) after each atom.
Space group P4/mmm (No. 123)
Symmetry-distinct sites (fractional):
Mn (0.0000, 0.0000, 0.0000) x1  8 Ni 2.66, 4 In 2.85
In (0.5000, 0.5000, 0.0000) x1  8 Ni 2.66, 4 Mn 2.85
Ni (0.0000, 0.5000, 0.5000) x2  4 In 2.66, 4 Mn 2.66, 4 Ni 2.85

Material: Cu2BiPd8
Method: DFT, PBE
State: relaxed

## Properties
DOS at the Fermi energy = 18.18 states/eV/cell
total magnetization = 0.00 μB/atom
density = 11.4 g/cm³
raw total energy = -5.005 eV per atom

Cell: 14.1166 4.0749 6.2236 Å, 90.00 105.55 90.00°
With the nearest neighbours (Å) after each atom.
Space group C2/m (No. 12)
Symmetry-distinct sites (fractional):
Cu (0.2266, 0.0000, 0.1404) x4  10 Pd 2.62-2.84, 2 Cu 2.87
Bi (0.0000, 0.5000, 0.5000) x2  12 Pd 2.78-2.95
Pd (0.0482, 0.0000, 0.2251) x4  1 Cu 2.71, 9 Pd 2.77-2.95, 2 Bi 2.86
Pd (0.0988, 0.5000, 0.9674) x4  3 Cu 2.72-2.74, 8 Pd 2.75-2.93, 1 Bi 2.87
Pd (0.1472, 0.0000, 0.7078) x4  3 Cu 2.62-2.70, 6 Pd 2.70-2.90
Pd (0.1843, 0.5000, 0.4196) x4  3 Cu 2.69-2.84, 8 Pd 2.70-2.85, 1 Bi 2.78

Material: YTeS2F
Method: DFT, PBE
State: relaxed

## Properties
DOS at the Fermi energy = 2.15 states/eV/cell
total magnetization = 0.00 μB/atom
raw formation energy = -1.333 eV per atom
density = 4.1 g/cm³
raw total energy = -5.280 eV per atom

Cell: 5.3362 5.3362 4.2232 Å, 90.00 90.00 90.00°
With the nearest neighbours (Å) after each atom.
Space group P4/mmm (No. 123)
Symmetry-distinct sites (fractional):
Y (0.0000, 0.0000, 0.0000) x1  2 F 2.11
Te (0.5000, 0.5000, 0.5000) x1  8 S 3.40, 4 F 3.77
S (0.0000, 0.5000, 0.0000) x2  2 Y 2.67
F (0.0000, 0.0000, 0.5000) x1  2 Y 2.11

Material: Ba2LiSiW
Method: DFT, PBE
State: relaxed

## Properties
DOS at the Fermi energy = 3.45 states/eV/cell
total magnetization = 0.00 μB/atom
raw formation energy = 0.628 eV per atom
density = 4.6 g/cm³
raw total energy = -4.199 eV per atom

Cell: 6.0528 6.0528 4.8562 Å, 90.00 90.00 90.00°
With the nearest neighbours (Å) after each atom.
Space group P4/mmm (No. 123)
Symmetry-distinct sites (fractional):
Ba (0.0000, 0.5000, 0.0000) x2  2 W 3.03
Li (0.0000, 0.0000, 0.5000) x1  8 Ba 3.88, 4 Si 4.28
Si (0.5000, 0.5000, 0.5000) x1  2 W 2.43
W (0.5000, 0.5000, 0.0000) x1  2 Si 2.43

Material: Cd4InHg2
Method: DFT, PBE
State: relaxed

## Properties
DOS at the Fermi energy = 5.48 states/eV/cell
total magnetization = 0.00 μB/atom
density = 9.2 g/cm³
raw total energy = -0.966 eV per atom

Cell: 10.0589 10.6174 3.2782 Å, 90.00 90.00 90.00°
With the nearest neighbours (Å) after each atom.
Space group Pbam (No. 55)
Symmetry-distinct sites (fractional):
Cd (0.0116, 0.2340, 0.0000) x4  6 Cd 3.00-3.28, 2 Hg 3.14-3.18, 2 In 3.27
Cd (0.2384, 0.7360, 0.5000) x4  6 Cd 3.00-3.28, 4 Hg 3.17-3.18
In (0.0000, 0.5000, 0.5000) x2  6 Cd 3.27-3.47, 2 In 3.28, 4 Hg 3.50
Hg (0.1931, 0.9889, 0.0000) x4  6 Cd 3.14-3.18, 2 Hg 3.28, 2 In 3.50

Material: SrBe4
Method: DFT, PBE
State: relaxed

## Properties
DOS at the Fermi energy = 4.24 states/eV/cell
total magnetization = 0.00 μB/atom
density = 2.6 g/cm³
raw total energy = -2.963 eV per atom

Cell: 3.9488 3.9488 10.2388 Å, 90.00 90.00 90.00°
With the nearest neighbours (Å) after each atom.
Space group I4/mmm (No. 139)
Symmetry-distinct sites (fractional):
Sr (0.0000, 0.0000, 0.0000) x2  18 Be 3.23-3.35
Be (0.0000, 0.0000, 0.3185) x4  4 Be 2.10
Be (0.0000, 0.5000, 0.2500) x4  4 Be 2.10

Material: BaLi2HgF8
Method: DFT, PBE
State: relaxed

## Properties
DOS at the Fermi energy = 4.21 states/eV/cell
total magnetization = 0.17 μB/atom
raw formation energy = -2.259 eV per atom
density = 4.7 g/cm³
raw total energy = -4.011 eV per atom

Cell: 5.1185 5.1185 7.9193 Å, 90.00 90.00 120.00°
With the nearest neighbours (Å) after each atom.
Space group P-3 (No. 147)
Symmetry-distinct sites (fractional):
Ba (0.0000, 0.0000, 0.0000) x1  12 F 2.97-2.98
Li (0.3333, 0.6667, 0.7347) x2  4 F 1.83-1.86
Hg (0.0000, 0.0000, 0.5000) x1  6 F 2.14
F (0.0106, 0.6957, 0.3179) x6  1 Li 1.86
F (0.3333, 0.6667, 0.9653) x2  1 Li 1.83

Material: IrRuAu2
Method: DFT, PBE
State: relaxed

## Properties
DOS at the Fermi energy = 4.53 states/eV/cell
total magnetization = 0.00 μB/atom
density = 17.6 g/cm³
raw total energy = -6.007 eV per atom

Cell: 2.8097 2.8097 8.2006 Å, 90.00 90.00 90.00°
With the nearest neighbours (Å) after each atom.
Space group P4mm (No. 99)
Symmetry-distinct sites (fractional):
Ir (0.0000, 0.0000, 0.0000) x1  4 Ru 2.60, 4 Ir 2.81
Ru (0.5000, 0.5000, 0.2052) x1  4 Ir 2.60, 4 Ru 2.81, 4 Au 2.90
Au (0.0000, 0.0000, 0.4628) x1  8 Au 2.81-3.00, 4 Ru 2.90
Au (0.5000, 0.5000, 0.7375) x1  8 Au 2.81-3.00, 4 Ir 2.93

Material: In2AsPt
Method: DFT, PBE
State: relaxed

## Properties
DOS at the Fermi energy = 3.03 states/eV/cell
total magnetization = 0.00 μB/atom
density = 9.3 g/cm³
raw total energy = -4.180 eV per atom

Cell: 3.3359 4.4100 12.1704 Å, 90.00 90.00 90.00°
With the nearest neighbours (Å) after each atom.
Space group Imm2 (No. 44)
Symmetry-distinct sites (fractional):
In (0.0000, 0.0000, 0.0000) x2  4 As 3.07, 4 In 3.23-3.34, 2 Pt 3.24
In (0.0000, 0.5000, 0.1940) x2  4 Pt 2.80
As (0.0000, 0.0000, 0.3896) x2  2 Pt 2.57
Pt (0.0000, 0.5000, 0.7285) x2  2 As 2.57, 4 In 2.80

Material: Mg2Os
Method: DFT, PBE
State: relaxed

## Properties
DOS at the Fermi energy = 10.57 states/eV/cell
total magnetization = 0.00 μB/atom
density = 7.3 g/cm³
raw total energy = -4.495 eV per atom

Cell: 2.8394 2.8394 27.1030 Å, 90.00 90.00 90.00°
With the nearest neighbours (Å) after each atom.
Space group I4_1/amd (No. 141, origin choice 2)
Symmetry-distinct sites (fractional):
Mg (0.0000, 0.2500, 0.3034) x8  4 Os 2.79, 4 Mg 2.84
Os (0.0000, 0.2500, 0.8750) x4  8 Mg 2.79, 4 Os 2.84

Material: LiScCdSn
Method: DFT, PBE
State: relaxed

## Properties
DOS at the Fermi energy = 1.61 states/eV/cell
total magnetization = 0.00 μB/atom
density = 5.6 g/cm³
raw total energy = -3.719 eV per atom

Cell: 4.0177 4.4226 4.7172 Å, 90.00 90.00 90.00°
With the nearest neighbours (Å) after each atom.
Space group Pmmm (No. 47)
Symmetry-distinct sites (fractional):
Li (0.0000, 0.0000, 0.0000) x1  4 Cd 2.99, 4 Sn 3.10, 4 Sc 3.23
Sc (0.0000, 0.5000, 0.5000) x1  4 Sn 2.99, 4 Cd 3.10, 4 Li 3.23
Cd (0.5000, 0.5000, 0.0000) x1  4 Li 2.99, 4 Sc 3.10, 4 Sn 3.23
Sn (0.5000, 0.0000, 0.5000) x1  4 Sc 2.99, 4 Li 3.10, 4 Cd 3.23

Material: HfGaNi3
Method: DFT, PBE
State: relaxed

## Properties
DOS at the Fermi energy = 16.39 states/eV/cell
total magnetization = 0.00 μB/atom
density = 8.2 g/cm³
raw total energy = -6.019 eV per atom

Cell: 4.6228 4.6228 16.1343 Å, 90.00 90.00 90.00°
With the nearest neighbours (Å) after each atom.
Space group I-4m2 (No. 119)
Symmetry-distinct sites (fractional):
Hf (0.0000, 0.0000, 0.1075) x4  6 Ni 2.61-2.65
Ga (0.0000, 0.0000, 0.5000) x2  8 Ni 2.32-2.35
Ga (0.0000, 0.5000, 0.7500) x2  4 Ni 2.33
Ni (0.0000, 0.2461, 0.6253) x8  2 Ni 2.28-2.35, 2 Ga 2.32-2.33
Ni (0.0000, 0.5000, 0.0274) x4  2 Ga 2.35

Material: InHPd4
Method: DFT, PBE
State: relaxed

## Properties
DOS at the Fermi energy = 2.56 states/eV/cell
total magnetization = 0.00 μB/atom
density = 9.7 g/cm³
raw total energy = -4.678 eV per atom

Cell: 3.9460 3.9067 6.2989 Å, 90.00 108.13 90.00°
With the nearest neighbours (Å) after each atom.
Space group Pm (No. 6)
Symmetry-distinct sites (fractional):
In (0.0000, 0.0000, 0.0000) x1  8 Pd 2.75-2.79
H (0.3470, 0.5000, 0.6854) x1  5 Pd 1.96-2.17
Pd (0.1614, 0.5000, 0.3222) x1  1 H 2.17
Pd (0.3360, 0.0000, 0.6716) x1  2 H 1.96
Pd (0.6613, 0.0000, 0.3221) x1  2 In 2.75-2.76, 8 Pd 2.78-2.88
Pd (0.8356, 0.5000, 0.6708) x1  2 H 1.96-1.99

Material: SmEr2Hg
Method: DFT, PBE
State: relaxed

## Properties
DOS at the Fermi energy = 9.84 states/eV/cell
total magnetization = 0.00 μB/atom
density = 9.6 g/cm³
raw total energy = -3.707 eV per atom

Cell: 3.6006 3.6006 31.6092 Å, 90.00 90.00 120.00°
With the nearest neighbours (Å) after each atom.
Space group R-3m (No. 166, hexagonal axes)
Symmetry-distinct sites (fractional):
Sm (0.0000, 0.0000, 0.0000) x3  6 Er 3.56, 6 Sm 3.60
Er (0.0000, 0.0000, 0.2419) x6  3 Hg 3.16
Hg (0.0000, 0.0000, 0.5000) x3  6 Er 3.16

Material: LiAcMgAg
Method: DFT, PBE
State: relaxed

## Properties
DOS at the Fermi energy = 20.55 states/eV/cell
total magnetization = 0.00 μB/atom
density = 5.9 g/cm³
raw total energy = -2.724 eV per atom

Cell: 7.4578 7.4578 7.4578 Å, 90.00 90.00 90.00°
With the nearest neighbours (Å) after each atom.
Space group F-43m (No. 216)
Symmetry-distinct sites (fractional):
Li (0.0000, 0.0000, 0.0000) x4  4 Mg 3.23, 4 Ac 3.23
Ac (0.2500, 0.2500, 0.2500) x4  4 Li 3.23, 4 Ag 3.23
Mg (0.2500, 0.2500, 0.7500) x4  4 Li 3.23, 4 Ag 3.23
Ag (0.0000, 0.0000, 0.5000) x4  4 Ac 3.23, 4 Mg 3.23

Material: Ba2Cd4Pt
Method: DFT, PBE
State: relaxed

## Properties
DOS at the Fermi energy = 14.55 states/eV/cell
total magnetization = 0.00 μB/atom
density = 6.2 g/cm³
raw total energy = -2.203 eV per atom

Cell: 5.2661 5.2661 17.7598 Å, 90.00 90.00 90.00°
With the nearest neighbours (Å) after each atom.
Space group I4/mmm (No. 139)
Symmetry-distinct sites (fractional):
Ba (0.0000, 0.0000, 0.1486) x4  9 Cd 3.55-3.73
Cd (0.0000, 0.0000, 0.3484) x4  1 Pt 2.69
Cd (0.0000, 0.5000, 0.0000) x4  2 Pt 2.63
Pt (0.0000, 0.0000, 0.5000) x2  6 Cd 2.63-2.69